1.
An optimized crystal structure of Er2Zn3Au4. Source: Alexandria via LeMat-Bulk, functional PBE.

Cell: 8.123 8.123 8.019 Å, 90.00 90.00 138.96°
Positions (direct):
Er1 0.113 0.887 0.912
Er2 0.387 0.613 0.412
Er3 0.613 0.387 0.588
Er4 0.887 0.113 0.088
Zn1 0.000 0.000 0.500
Zn2 0.026 0.474 0.750
Zn3 0.474 0.026 0.250
Zn4 0.500 0.500 0.000
Zn5 0.526 0.974 0.750
Zn6 0.974 0.526 0.250
Au1 0.183 0.817 0.531
Au2 0.201 0.299 0.750
Au3 0.299 0.201 0.250
Au4 0.317 0.683 0.031
Au5 0.683 0.317 0.969
Au6 0.701 0.799 0.750
Au7 0.799 0.701 0.250
Au8 0.817 0.183 0.469

Calculated values
- Energy relative to the elements: -0.56 eV/atom
- Magnetic moment: 0.0 μB/f.u.
- Volume: 19.30 Å³/atom
- Energy: -31.1 eV/f.u.

2.
An optimized crystal structure of LuCdSn2. Source: Alexandria via LeMat-Bulk, functional PBE.

Cell: 4.721 4.721 4.376 Å, 90.00 90.00 90.00°
Positions (direct):
Lu1 0.000 0.000 0.000
Cd1 0.500 0.500 0.000
Sn1 0.000 0.500 0.500
Sn2 0.500 0.000 0.500

Calculated values
- Energy relative to the elements: -0.36 eV/atom
- Magnetic moment: 0.0 μB/f.u.
- Volume: 24.38 Å³/atom
- Energy: -14.9 eV/f.u.
- ΔE to the lowest computed polymorph: 0 kJ/mol of formula units

3.
An optimized crystal structure of TaCr2Ge. Source: Alexandria via LeMat-Bulk, functional PBE.

Cell: 4.187 4.187 3.228 Å, 90.00 90.00 90.00°
Positions (direct):
Ta1 0.000 0.000 0.000
Cr1 0.000 0.500 0.500
Cr2 0.500 0.000 0.500
Ge1 0.500 0.500 0.000

Calculated values
- Energy relative to the elements: -0.05 eV/atom
- Magnetic moment: 2.9 μB/f.u.
- Volume: 14.15 Å³/atom
- Energy: -35.9 eV/f.u.